[1]
Material: Co7Ni2Pt2
Method: DFT, PBE-GGA
State: relaxed

The space group is C2/m (No. 12) and the conventional cell measures 8.109, 8.197 and 4.510 Å, with angles of 90.00, 115.67 and 90.00 degrees. The asymmetric unit holds Co at (0.000, 0.000, 0.000), Co at (0.173, 0.241, 0.176), Co at (0.238, 0.000, 0.554), Ni at (0.000, 0.196, 0.500) and Pt at (0.108, 0.500, 0.825).

Its crystal system is monoclinic.

=====

[2]
Material: CoNi23Pt6
Method: DFT, PBE-GGA
State: relaxed

The space group is Fm-3m (No. 225) and the conventional cell measures 11.336, 11.336 and 11.336 Å, with angles of 90.00, 90.00 and 90.00 degrees. The asymmetric unit holds Co at (0.000, 0.000, 0.000), Ni at (0.000, 0.000, 0.500), Ni at (0.000, 0.250, 0.250), Ni at (0.122, 0.122, 0.378), Ni at (0.165, 0.165, 0.165) and Pt at (0.000, 0.000, 0.225).

Its crystal system is cubic.

=====

[3]
Material: CoNi5Pt4
Method: DFT, PBE-GGA
State: relaxed

The space group is Pmmn (No. 59, origin choice 2) and the conventional cell measures 7.573, 8.175 and 4.397 Å, with angles of 90.00, 90.00 and 90.00 degrees. The asymmetric unit holds Co at (0.250, 0.250, 0.230), Ni at (0.085, 0.505, 0.231), Ni at (0.250, 0.750, 0.059), Pt at (0.070, 0.750, 0.578) and Pt at (0.250, 0.072, 0.738).

The offset from the most stable computed form is 0 meV/atom. Its crystal system is orthorhombic.

=====

[4]
Material: Co2Ni5Pt4
Method: DFT, PBE-GGA
State: relaxed

The space group is Immm (No. 71) and the conventional cell measures 3.961, 7.261 and 10.067 Å, with angles of 90.00, 90.00 and 90.00 degrees. The asymmetric unit holds Co at (0.000, 0.000, 0.126), Ni at (0.000, 0.338, 0.275), Ni at (0.000, 0.500, 0.500), Pt at (0.000, 0.000, 0.367) and Pt at (0.000, 0.300, 0.000).

The offset from the most stable computed form is 90 meV/atom. Its crystal system is orthorhombic.

=====

Looking at formation energy for the records above, in order, we have 0.098, 0.069, 0.085, 0.079 eV per atom.
Looking at total DFT energy (no corrections) for the records above, in order, we have -6.57, -5.81, -5.93, -6.04 eV/atom.